[1]
Here is Sr2TiAgPt after structural relaxation from the Alexandria database. Energies are from PBE-GGA.

## Properties
- total energy (eV per atom) = -3.5987
- space-group type = P4/mmm, No. 123

Geometry as POSCAR:
```
Sr2TiAgPt
1.0
-1.149 -1.033 -5.521
5.095 -0.468 -0.973
-0.303 -5.616 1.114
Sr Ag Pt Ti
2 1 1 1
Cartesian
-0.152 -2.808 0.557
-0.575 -0.516 -2.760
2.548 -0.234 -0.487
0.000 0.000 0.000
1.821 -3.558 -2.690
```


[2]
Here is SrTlAgPt after structural relaxation from the Alexandria database. Energies are from PBE-GGA.

## Properties
- total energy (eV per atom) = -3.5014
- space-group type = F-43m, No. 216

Geometry as POSCAR:
```
SrTlAgPt
1.0
5.117 0.000 0.000
2.559 4.432 0.000
2.559 1.477 4.178
Sr Tl Ag Pt
1 1 1 1
Cartesian
7.676 4.432 3.134
2.559 1.477 1.045
0.000 0.000 0.000
5.117 2.954 2.089
```


[3]
Here is Sr2TlAgPt after structural relaxation from the Alexandria database. Energies are from PBE-GGA.

## Properties
- total energy (eV per atom) = -3.1998
- space-group type = P4/mmm, No. 123

Geometry as POSCAR:
```
Sr2TlAgPt
1.0
5.759 0.000 0.000
0.000 5.759 0.000
0.000 0.000 5.246
Sr Tl Ag Pt
2 1 1 1
Cartesian
0.000 2.879 0.000
2.879 0.000 0.000
2.879 2.879 2.623
0.000 0.000 2.623
0.000 0.000 0.000
```


| no. | magnetization (Bohr magnetons per cell) | D(E_F) (states/eV/f.u.) | energy of formation from the pure elements (eV per atom) |
| --- | --- | --- | --- |
| 1 | 0.507 | 7.549 | 0.431 |
| 2 | 0.000 | 2.516 | -0.266 |
| 3 | 0.000 | 2.929 | -0.275 |